# 1
A geometry-optimized KMn2Tl structure. Source: Alexandria, functional PBE.

Geometry as CIF:
```
data_KMn2Tl
_space_group_name_H-M_alt 'P 1'
_space_group_IT_number 1
_space_group_name_Hall 'P 1'
_cell_length_a 3.213
_cell_length_b 3.213
_cell_length_c 10.800
_cell_angle_alpha 90.00
_cell_angle_beta 90.00
_cell_angle_gamma 116.03
loop_
_atom_site_label
_atom_site_type_symbol
_atom_site_fract_x
_atom_site_fract_y
_atom_site_fract_z
_atom_site_occupancy
K1 K 0.000 0.000 0.000 1
Mn1 Mn 0.500 0.500 0.281 1
Mn2 Mn 0.500 0.500 0.719 1
Tl1 Tl 0.000 0.000 0.500 1
```

Summary:
Spin magnetization   8.11 μB/cell
Symmetry   Cmmm, No. 65
Excess energy over the best structure of this formula in the dataset   304.9 meV per atom

# 2
A geometry-optimized La2NbAg structure. Source: Alexandria, functional PBE.

Geometry as CIF:
```
data_La2NbAg
_space_group_name_H-M_alt 'P 1'
_space_group_IT_number 1
_space_group_name_Hall 'P 1'
_cell_length_a 11.646
_cell_length_b 11.646
_cell_length_c 11.646
_cell_angle_alpha 15.71
_cell_angle_beta 15.71
_cell_angle_gamma 15.71
loop_
_atom_site_label
_atom_site_type_symbol
_atom_site_fract_x
_atom_site_fract_y
_atom_site_fract_z
_atom_site_occupancy
La1 La 0.085 0.085 0.085 1
La2 La 0.915 0.915 0.915 1
Nb1 Nb 0.000 0.000 0.000 1
Ag1 Ag 0.500 0.500 0.500 1
```

Summary:
Spin magnetization   0.47 μB/cell
Symmetry   R-3m, No. 166
Excess energy over the best structure of this formula in the dataset   258.6 meV per atom

# 3
A geometry-optimized TbPr5Nd2Sm structure. Source: Alexandria, functional PBE.

Geometry as CIF:
```
data_TbPr5Nd2Sm
_space_group_name_H-M_alt 'P 1'
_space_group_IT_number 1
_space_group_name_Hall 'P 1'
_cell_length_a 10.302
_cell_length_b 10.302
_cell_length_c 10.302
_cell_angle_alpha 129.06
_cell_angle_beta 129.06
_cell_angle_gamma 74.92
loop_
_atom_site_label
_atom_site_type_symbol
_atom_site_fract_x
_atom_site_fract_y
_atom_site_fract_z
_atom_site_occupancy
Tb1 Tb 0.250 0.750 0.500 1
Tb2 Tb 0.750 0.250 0.500 1
Pr1 Pr 0.000 0.000 0.000 1
Pr2 Pr 0.070 0.570 0.922 1
Pr3 Pr 0.148 0.070 0.500 1
Pr4 Pr 0.352 0.852 0.922 1
Pr5 Pr 0.430 0.352 0.500 1
Pr6 Pr 0.500 0.500 0.000 1
Pr7 Pr 0.570 0.648 0.500 1
Pr8 Pr 0.648 0.148 0.078 1
Pr9 Pr 0.852 0.930 0.500 1
Pr10 Pr 0.930 0.430 0.078 1
Nd1 Nd 0.119 0.381 0.500 1
Nd2 Nd 0.381 0.881 0.262 1
Nd3 Nd 0.619 0.119 0.738 1
Nd4 Nd 0.881 0.619 0.500 1
Sm1 Sm 0.250 0.250 0.000 1
Sm2 Sm 0.750 0.750 0.000 1
```

Summary:
Spin magnetization   0.00 μB/cell
E_tot   -80.74 eV/cell
Symmetry   I4/mcm, No. 140

# 4
A geometry-optimized CsPu3Hg2F12 structure. Source: Alexandria, functional PBE.

Geometry as CIF:
```
data_CsPu3Hg2F12
_space_group_name_H-M_alt 'P 1'
_space_group_IT_number 1
_space_group_name_Hall 'P 1'
_cell_length_a 8.879
_cell_length_b 8.879
_cell_length_c 8.879
_cell_angle_alpha 60.05
_cell_angle_beta 60.05
_cell_angle_gamma 60.05
loop_
_atom_site_label
_atom_site_type_symbol
_atom_site_fract_x
_atom_site_fract_y
_atom_site_fract_z
_atom_site_occupancy
Cs1 Cs 0.000 0.000 0.000 1
Pu1 Pu 0.000 0.000 0.500 1
Pu2 Pu 0.000 0.500 0.000 1
Pu3 Pu 0.500 0.000 0.000 1
Hg1 Hg 0.391 0.391 0.391 1
Hg2 Hg 0.609 0.609 0.609 1
F1 F 0.064 0.722 0.722 1
F2 F 0.095 0.095 0.597 1
F3 F 0.095 0.597 0.095 1
F4 F 0.278 0.278 0.936 1
F5 F 0.278 0.936 0.278 1
F6 F 0.403 0.905 0.905 1
F7 F 0.597 0.095 0.095 1
F8 F 0.722 0.064 0.722 1
F9 F 0.722 0.722 0.064 1
F10 F 0.905 0.403 0.905 1
F11 F 0.905 0.905 0.403 1
F12 F 0.936 0.278 0.278 1
```

Summary:
Spin magnetization   13.00 μB/cell
Symmetry   R-3m, No. 166
Energy relative to the elements, uncorrected   -3033.2 meV/atom

# 5
A geometry-optimized TbCe3H structure. Source: Alexandria, functional PBE.

Geometry as CIF:
```
data_TbCe3H
_space_group_name_H-M_alt 'P 1'
_space_group_IT_number 1
_space_group_name_Hall 'P 1'
_cell_length_a 4.969
_cell_length_b 4.969
_cell_length_c 4.969
_cell_angle_alpha 90.00
_cell_angle_beta 90.00
_cell_angle_gamma 90.00
loop_
_atom_site_label
_atom_site_type_symbol
_atom_site_fract_x
_atom_site_fract_y
_atom_site_fract_z
_atom_site_occupancy
Tb1 Tb 0.000 0.000 0.000 1
Ce1 Ce 0.000 0.500 0.500 1
Ce2 Ce 0.500 0.000 0.500 1
Ce3 Ce 0.500 0.500 0.000 1
H1 H 0.500 0.500 0.500 1
```

Summary:
Spin magnetization   2.81 μB/cell
E_tot   -26.12 eV/cell
Symmetry   Pm-3m, No. 221

# 6
A geometry-optimized LaSm2Rh structure. Source: Alexandria, functional PBE.

Geometry as CIF:
```
data_LaSm2Rh
_space_group_name_H-M_alt 'P 1'
_space_group_IT_number 1
_space_group_name_Hall 'P 1'
_cell_length_a 7.311
_cell_length_b 9.888
_cell_length_c 6.541
_cell_angle_alpha 90.00
_cell_angle_beta 90.00
_cell_angle_gamma 90.00
loop_
_atom_site_label
_atom_site_type_symbol
_atom_site_fract_x
_atom_site_fract_y
_atom_site_fract_z
_atom_site_occupancy
La1 La 0.041 0.250 0.142 1
La2 La 0.459 0.750 0.642 1
La3 La 0.541 0.250 0.358 1
La4 La 0.959 0.750 0.858 1
Sm1 Sm 0.174 0.066 0.669 1
Sm2 Sm 0.174 0.434 0.669 1
Sm3 Sm 0.326 0.566 0.169 1
Sm4 Sm 0.326 0.934 0.169 1
Sm5 Sm 0.674 0.066 0.831 1
Sm6 Sm 0.674 0.434 0.831 1
Sm7 Sm 0.826 0.566 0.331 1
Sm8 Sm 0.826 0.934 0.331 1
Rh1 Rh 0.124 0.750 0.437 1
Rh2 Rh 0.376 0.250 0.937 1
Rh3 Rh 0.624 0.750 0.063 1
Rh4 Rh 0.876 0.250 0.563 1
```

Summary:
Spin magnetization   0.00 μB/cell
Symmetry   Pnma, No. 62
Excess energy over the best structure of this formula in the dataset   0.0 meV per atom

# 7
A geometry-optimized LaPuSi2 structure. Source: Alexandria, functional PBE.

Geometry as CIF:
```
data_LaPuSi2
_space_group_name_H-M_alt 'P 1'
_space_group_IT_number 1
_space_group_name_Hall 'P 1'
_cell_length_a 3.304
_cell_length_b 3.304
_cell_length_c 8.214
_cell_angle_alpha 90.00
_cell_angle_beta 90.00
_cell_angle_gamma 90.00
loop_
_atom_site_label
_atom_site_type_symbol
_atom_site_fract_x
_atom_site_fract_y
_atom_site_fract_z
_atom_site_occupancy
La1 La 0.000 0.000 0.000 1
Pu1 Pu 0.000 0.000 0.500 1
Si1 Si 0.500 0.500 0.263 1
Si2 Si 0.500 0.500 0.737 1
```

Summary:
Spin magnetization   5.34 μB/cell
Symmetry   P4/mmm, No. 123
Energy relative to the elements, uncorrected   -388.9 meV/atom
Excess energy over the best structure of this formula in the dataset   171.9 meV per atom

# 8
A geometry-optimized CoNi3H3 structure. Source: Alexandria, functional PBE.

Geometry as CIF:
```
data_CoNi3H3
_space_group_name_H-M_alt 'P 1'
_space_group_IT_number 1
_space_group_name_Hall 'P 1'
_cell_length_a 3.668
_cell_length_b 3.668
_cell_length_c 3.668
_cell_angle_alpha 90.00
_cell_angle_beta 90.00
_cell_angle_gamma 90.00
loop_
_atom_site_label
_atom_site_type_symbol
_atom_site_fract_x
_atom_site_fract_y
_atom_site_fract_z
_atom_site_occupancy
Co1 Co 0.000 0.000 0.000 1
Ni1 Ni 0.000 0.500 0.500 1
Ni2 Ni 0.500 0.000 0.500 1
Ni3 Ni 0.500 0.500 0.000 1
H1 H 0.000 0.000 0.500 1
H2 H 0.000 0.500 0.000 1
H3 H 0.500 0.000 0.000 1
```

Summary:
Spin magnetization   1.55 μB/cell
Symmetry   Pm-3m, No. 221
Excess energy over the best structure of this formula in the dataset   0.0 meV per atom

# 9
A geometry-optimized CaPW2 structure. Source: Alexandria, functional PBE.

Geometry as CIF:
```
data_CaPW2
_space_group_name_H-M_alt 'P 1'
_space_group_IT_number 1
_space_group_name_Hall 'P 1'
_cell_length_a 5.995
_cell_length_b 5.995
_cell_length_c 5.995
_cell_angle_alpha 153.40
_cell_angle_beta 132.51
_cell_angle_gamma 55.25
loop_
_atom_site_label
_atom_site_type_symbol
_atom_site_fract_x
_atom_site_fract_y
_atom_site_fract_z
_atom_site_occupancy
Ca1 Ca 0.000 0.000 0.000 1
P1 P 0.500 0.500 0.000 1
W1 W 0.299 0.799 0.500 1
W2 W 0.701 0.201 0.500 1
```

Summary:
Spin magnetization   0.00 μB/cell
Symmetry   Immm, No. 71
Excess energy over the best structure of this formula in the dataset   172.0 meV per atom

# 10
A geometry-optimized CdCo2Pb structure. Source: Alexandria, functional PBE.

Geometry as CIF:
```
data_CdCo2Pb
_space_group_name_H-M_alt 'P 1'
_space_group_IT_number 1
_space_group_name_Hall 'P 1'
_cell_length_a 3.087
_cell_length_b 3.087
_cell_length_c 7.792
_cell_angle_alpha 90.00
_cell_angle_beta 90.00
_cell_angle_gamma 90.00
loop_
_atom_site_label
_atom_site_type_symbol
_atom_site_fract_x
_atom_site_fract_y
_atom_site_fract_z
_atom_site_occupancy
Cd1 Cd 0.000 0.000 0.000 1
Co1 Co 0.000 0.000 0.363 1
Co2 Co 0.500 0.500 0.227 1
Pb1 Pb 0.500 0.500 0.619 1
```

Summary:
Spin magnetization   3.29 μB/cell
Symmetry   P4mm, No. 99
Excess energy over the best structure of this formula in the dataset   0.0 meV per atom

Q: Which of these has the highest spin magnetization?
A: CsPu3Hg2F12

Q: Look up the spin magnetization of the fifth one.
A: 2.81 μB/cell